[1]
Compound: SrAl6Ni2
Source: Alexandria
Functional: GGA-PBE
Structure: optimized geometry

The total magnetic moment is 0.00 μB per formula unit. Its formation energy from the elements is -25.3 kJ/mol of atoms. The value obtained for the mass density is 3.696 g/cm³.

The space group is C2/m (No. 12) and the conventional cell measures 10.611, 8.049 and 4.190 Å, with angles of 90.00, 112.90 and 90.00 degrees. Symmetry generates all atoms from Sr at (0.000, 0.000, 0.000), Al at (0.000, 0.329, 0.500), Al at (0.212, 0.336, 0.213) and Ni at (0.203, 0.500, 0.703).


[2]
Compound: SrAlNi
Source: Alexandria
Functional: GGA-PBE
Structure: optimized geometry

The total magnetic moment is 0.00 μB per formula unit. Its formation energy from the elements is -18.5 kJ/mol of atoms. The value obtained for the mass density is 4.013 g/cm³.

The space group is P-6m2 (No. 187) and the conventional cell measures 4.1758, 4.1758 and 4.7485 Å, with angles of 90.00, 90.00 and 120.00 degrees. Symmetry generates all atoms from Sr at (0.0000, 0.0000, 0.0000), Al at (0.6667, 0.3333, 0.5000) and Ni at (0.3333, 0.6667, 0.5000).


[3]
Compound: SrAlNi
Source: Alexandria
Functional: GGA-PBE
Structure: optimized geometry

The total magnetic moment is 0.00 μB per formula unit. Its formation energy from the elements is -12.9 kJ/mol of atoms. The value obtained for the mass density is 4.621 g/cm³.

The space group is I4mm (No. 107) and the conventional cell measures 3.294, 3.294 and 11.480 Å, with angles of 90.00, 90.00 and 90.00 degrees. Symmetry generates all atoms from Sr at (0.000, 0.000, 0.000), Al at (0.000, 0.000, 0.278) and Ni at (0.000, 0.000, 0.700).


[4]
Compound: SrTiAl2Ni
Source: Alexandria
Functional: GGA-PBE
Structure: optimized geometry

The total magnetic moment is 0.00 μB per formula unit. Its formation energy from the elements is 163.6 kJ/mol of atoms. The value obtained for the mass density is 3.118 g/cm³.

The space group is P4/mmm (No. 123) and the conventional cell measures 5.369, 5.369 and 4.584 Å, with angles of 90.00, 90.00 and 90.00 degrees. Symmetry generates all atoms from Sr at (0.000, 0.000, 0.000), Ti at (0.500, 0.500, 0.500), Al at (0.000, 0.500, 0.000) and Ni at (0.000, 0.000, 0.500).


[5]
Compound: SrAlVNi2
Source: Alexandria
Functional: GGA-PBE
Structure: optimized geometry

The total magnetic moment is 0.61 μB per formula unit. Its formation energy from the elements is 40.8 kJ/mol of atoms. The value obtained for the mass density is 4.675 g/cm³.

The space group is P4/mmm (No. 123) and the conventional cell measures 4.547, 4.547 and 4.859 Å, with angles of 90.00, 90.00 and 90.00 degrees. Symmetry generates all atoms from Sr at (0.000, 0.000, 0.000), Al at (0.500, 0.500, 0.000), V at (0.500, 0.500, 0.500) and Ni at (0.000, 0.500, 0.500).


[6]
Compound: SrAlZnNi2
Source: Alexandria
Functional: GGA-PBE
Structure: optimized geometry

The total magnetic moment is 0.00 μB per formula unit. Its formation energy from the elements is 65.2 kJ/mol of atoms. The value obtained for the mass density is 4.377 g/cm³.

The space group is P4/mmm (No. 123) and the conventional cell measures 4.584, 4.584 and 5.371 Å, with angles of 90.00, 90.00 and 90.00 degrees. Symmetry generates all atoms from Sr at (0.000, 0.000, 0.000), Al at (0.500, 0.500, 0.000), Zn at (0.000, 0.000, 0.500) and Ni at (0.000, 0.500, 0.500).


[7]
Compound: Sr2AlZn6Ni
Source: Alexandria
Functional: GGA-PBE
Structure: optimized geometry

The total magnetic moment is 0.00 μB per formula unit. Its formation energy from the elements is -9.0 kJ/mol of atoms. The value obtained for the mass density is 4.844 g/cm³.

The space group is Immm (No. 71) and the conventional cell measures 6.806, 6.823 and 9.647 Å, with angles of 90.00, 90.00 and 90.00 degrees. Symmetry generates all atoms from Sr at (0.000, 0.000, 0.250), Al at (0.000, 0.500, 0.000), Zn at (0.000, 0.500, 0.261), Zn at (0.239, 0.260, 0.500) and Ni at (0.000, 0.500, 0.500).


[8]
Compound: SrAlZn2Ni
Source: Alexandria
Functional: GGA-PBE
Structure: optimized geometry

The total magnetic moment is 0.00 μB per formula unit. Its formation energy from the elements is -21.6 kJ/mol of atoms. The value obtained for the mass density is 4.916 g/cm³.

The space group is P4/mmm (No. 123) and the conventional cell measures 4.739, 4.739 and 4.575 Å, with angles of 90.00, 90.00 and 90.00 degrees. Symmetry generates all atoms from Sr at (0.000, 0.000, 0.000), Al at (0.500, 0.500, 0.000), Zn at (0.000, 0.500, 0.500) and Ni at (0.500, 0.500, 0.500).


[9]
Compound: SrZrAlNi2
Source: Alexandria
Functional: GGA-PBE
Structure: optimized geometry

The total magnetic moment is 1.12 μB per formula unit. Its formation energy from the elements is 79.5 kJ/mol of atoms. The value obtained for the mass density is 5.002 g/cm³.

The space group is P4/mmm (No. 123) and the conventional cell measures 4.506, 4.506 and 5.285 Å, with angles of 90.00, 90.00 and 90.00 degrees. Symmetry generates all atoms from Sr at (0.000, 0.000, 0.000), Zr at (0.500, 0.500, 0.000), Al at (0.000, 0.000, 0.500) and Ni at (0.000, 0.500, 0.500).


[10]
Compound: Ta2AlNi
Source: Alexandria
Functional: GGA-PBE
Structure: optimized geometry

The total magnetic moment is 0.00 μB per formula unit. Its formation energy from the elements is -18.3 kJ/mol of atoms. The value obtained for the mass density is 11.867 g/cm³.

The space group is Imm2 (No. 44) and the conventional cell measures 2.975, 4.670 and 9.015 Å, with angles of 90.00, 90.00 and 90.00 degrees. Symmetry generates all atoms from Ta at (0.000, 0.000, 0.000), Ta at (0.000, 0.500, 0.232), Al at (0.000, 0.500, 0.780) and Ni at (0.000, 0.000, 0.496).


[11]
Compound: TaAl5Ni4
Source: Alexandria
Functional: GGA-PBE
Structure: optimized geometry

The total magnetic moment is 0.00 μB per formula unit. Its formation energy from the elements is -55.9 kJ/mol of atoms. The value obtained for the mass density is 7.034 g/cm³.

The space group is P4/mmm (No. 123) and the conventional cell measures 2.892, 2.892 and 15.543 Å, with angles of 90.00, 90.00 and 90.00 degrees. Symmetry generates all atoms from Ta at (0.000, 0.000, 0.000), Al at (0.500, 0.500, 0.130), Al at (0.500, 0.500, 0.314), Al at (0.500, 0.500, 0.500), Ni at (0.000, 0.000, 0.221) and Ni at (0.000, 0.000, 0.408).


[12]
Compound: Ta2AlNi
Source: Alexandria
Functional: GGA-PBE
Structure: optimized geometry

The total magnetic moment is 0.00 μB per formula unit. Its formation energy from the elements is 3.2 kJ/mol of atoms. The value obtained for the mass density is 11.532 g/cm³.

The space group is R-3m (No. 166, hexagonal axes) and the conventional cell measures 2.8654, 2.8654 and 27.1926 Å, with angles of 90.00, 90.00 and 120.00 degrees. Symmetry generates all atoms from Ta at (0.0000, 0.0000, 0.2454), Al at (0.0000, 0.0000, 0.0000) and Ni at (0.0000, 0.0000, 0.5000).


Copy entry 1 word for word.
Compound: SrAl6Ni2
Source: Alexandria
Functional: GGA-PBE
Structure: optimized geometry

The total magnetic moment is 0.00 μB per formula unit. Its formation energy from the elements is -25.3 kJ/mol of atoms. The value obtained for the mass density is 3.696 g/cm³.

The space group is C2/m (No. 12) and the conventional cell measures 10.611, 8.049 and 4.190 Å, with angles of 90.00, 112.90 and 90.00 degrees. Symmetry generates all atoms from Sr at (0.000, 0.000, 0.000), Al at (0.000, 0.329, 0.500), Al at (0.212, 0.336, 0.213) and Ni at (0.203, 0.500, 0.703).


Question: Which of these has the highest formation energy from the elements?
Answer: SrTiAl2Ni